i.
Compound: LiSbTeW
Source: the Open Quantum Materials Database
Functional: PBE-GGA
Structure: relaxed

abc: 4.8826 4.8826 4.8826
angles: 60.00 60.00 60.00
Closest atoms and distances in Å follow each position.
Sites, in units of the cell vectors:
Li: 0.7500 0.7500 0.7500  4 Te 2.99, 4 W 2.99
W: 0.0000 0.0000 0.0000  4 Li 2.99, 4 Sb 2.99
Sb: 0.2500 0.2500 0.2500  4 Te 2.99, 4 W 2.99
Te: 0.5000 0.5000 0.5000  4 Li 2.99, 4 Sb 2.99

Properties
Space-group type   F-43m (216)
M_tot   1.715 Bohr magnetons per cell

***

ii.
Compound: LiSbTeW
Source: the Open Quantum Materials Database
Functional: PBE-GGA
Structure: relaxed

abc: 4.7876 4.7876 4.7876
angles: 60.00 60.00 60.00
Closest atoms and distances in Å follow each position.
Sites, in units of the cell vectors:
W: 0.2500 0.2500 0.2500  4 Te 2.93, 4 Sb 2.93
Sb: 0.0000 0.0000 0.0000  4 Li 2.93, 4 W 2.93
Te: 0.5000 0.5000 0.5000  4 Li 2.93, 4 W 2.93
Li: 0.7500 0.7500 0.7500  4 Te 2.93, 4 Sb 2.93

Properties
Space-group type   F-43m (216)
M_tot   0.762 Bohr magnetons per cell

***

Name the most stable of them. ii.

***

i.
Compound: Cu5Ag4
Source: the Open Quantum Materials Database
Functional: PBE-GGA
Structure: relaxed

abc: 7.0548 7.0548 6.7536
angles: 95.78 95.78 23.08
Closest atoms and distances in Å follow each position.
Sites, in units of the cell vectors:
Ag: 0.8858 0.8858 0.3294  7 Cu 2.66-2.78, 5 Ag 2.82-2.91
Cu: 0.9965 0.9965 0.0302  6 Cu 2.56-2.82, 5 Ag 2.66-2.72
Cu: 0.3368 0.3368 0.9975  4 Cu 2.61-2.82, 7 Ag 2.68-2.80
Ag: 0.4576 0.4576 0.6916  6 Cu 2.63-2.92, 6 Ag 2.82-2.91
Cu: 0.5593 0.5593 0.3333  8 Cu 2.54-2.82, 3 Ag 2.78-2.83
Cu: 0.2129 0.2129 0.3264  5 Cu 2.55-2.82, 6 Ag 2.70-2.77
Ag: 0.6615 0.6615 0.9911  9 Cu 2.70-2.83, 3 Ag 2.82-2.86
Cu: 0.1135 0.1135 0.6379  5 Cu 2.54-2.82, 6 Ag 2.63-2.79
Ag: 0.7761 0.7761 0.6626  6 Cu 2.65-2.74, 6 Ag 2.82-2.87

Properties
Space-group type   Cm (8)

***

ii.
Compound: Cu5Ag4
Source: the Open Quantum Materials Database
Functional: PBE-GGA
Structure: relaxed

abc: 2.7798 2.7798 19.7602
angles: 90.00 90.00 120.00
Closest atoms and distances in Å follow each position.
Sites, in units of the cell vectors:
Cu: 0.3333 0.6667 0.9854  9 Cu 2.53-2.78, 3 Ag 2.74
Cu: 0.0000 0.0000 0.7870  9 Cu 2.53-2.78, 3 Ag 2.76
Ag: 0.6667 0.3333 0.2252  3 Cu 2.72, 9 Ag 2.78-2.98
Ag: 0.0000 0.0000 0.0980  3 Cu 2.74, 9 Ag 2.78-2.98
Ag: 0.0000 0.0000 0.4483  6 Cu 2.73-2.74, 6 Ag 2.78
Ag: 0.3333 0.6667 0.6733  6 Cu 2.75-2.76, 6 Ag 2.78
Cu: 0.3333 0.6667 0.3364  6 Ag 2.72-2.73, 6 Cu 2.78
Cu: 0.6667 0.3333 0.5604  6 Ag 2.74-2.75, 6 Cu 2.78
Cu: 0.6667 0.3333 0.8861  12 Cu 2.53-2.78

Properties
Space-group type   P3m1 (156)

***

Name the most stable of them. i.

***

i.
Compound: BeNbZnNi
Source: the Open Quantum Materials Database
Functional: PBE-GGA
Structure: relaxed

abc: 4.1777 4.1777 4.1777
angles: 60.00 60.00 60.00
Closest atoms and distances in Å follow each position.
Sites, in units of the cell vectors:
Zn: 0.0000 0.0000 0.0000  4 Ni 2.56, 4 Nb 2.56
Nb: 0.2500 0.2500 0.2500  4 Be 2.56, 4 Zn 2.56
Ni: 0.7500 0.7500 0.7500  4 Zn 2.56, 4 Be 2.56
Be: 0.5000 0.5000 0.5000  4 Nb 2.56, 4 Ni 2.56

Properties
Space-group type   F-43m (216)
M_tot   0.499 Bohr magnetons per cell

***

ii.
Compound: BeNbZnNi
Source: the Open Quantum Materials Database
Functional: PBE-GGA
Structure: relaxed

abc: 4.1589 4.1589 4.1589
angles: 60.00 60.00 60.00
Closest atoms and distances in Å follow each position.
Sites, in units of the cell vectors:
Nb: 0.5000 0.5000 0.5000  4 Ni 2.55, 4 Be 2.55
Zn: 0.0000 0.0000 0.0000  4 Ni 2.55, 4 Be 2.55
Ni: 0.7500 0.7500 0.7500  4 Nb 2.55, 4 Zn 2.55
Be: 0.2500 0.2500 0.2500  4 Nb 2.55, 4 Zn 2.55

Properties
Space-group type   F-43m (216)
M_tot   0.003 Bohr magnetons per cell

***

Name the most stable of them. ii.

***

i.
Compound: NdZnInSe3
Source: the Open Quantum Materials Database
Functional: PBE-GGA
Structure: relaxed

abc: 8.5156 4.3860 16.7078
angles: 90.00 90.00 90.00
Closest atoms and distances in Å follow each position.
Sites, in units of the cell vectors:
In: 0.4260 0.2500 0.7841  5 Se 3.14-3.26, 2 Zn 3.51
Se: 0.0013 0.2500 0.9074  2 Zn 2.61
Se: 0.8738 0.7500 0.5527  1 Zn 2.47
Se: 0.4987 0.7500 0.4074  2 Zn 2.61
Se: 0.8100 0.2500 0.2840  1 Zn 2.44
Se: 0.1262 0.2500 0.4473  1 Zn 2.47
In: 0.5740 0.7500 0.2159  5 Se 3.14-3.26, 2 Zn 3.51
In: 0.9260 0.2500 0.7159  5 Se 3.14-3.26, 2 Zn 3.51
Se: 0.1900 0.7500 0.7160  1 Zn 2.44
Se: 0.9987 0.7500 0.0926  2 Zn 2.61
Nd: 0.2542 0.2500 0.0471  7 Se 2.86-3.18
Se: 0.5013 0.2500 0.5926  2 Zn 2.61
In: 0.0740 0.7500 0.2841  5 Se 3.14-3.26, 2 Zn 3.51
Se: 0.6900 0.7500 0.7840  1 Zn 2.44
Zn: 0.8604 0.2500 0.1403  4 Se 2.44-2.61
Se: 0.6262 0.2500 0.0527  1 Zn 2.47
Nd: 0.7542 0.2500 0.4529  7 Se 2.86-3.18
Zn: 0.3604 0.2500 0.3597  4 Se 2.44-2.61
Nd: 0.7458 0.7500 0.9529  7 Se 2.86-3.18
Zn: 0.1396 0.7500 0.8597  4 Se 2.44-2.61
Se: 0.3100 0.2500 0.2160  1 Zn 2.44
Se: 0.3738 0.7500 0.9473  1 Zn 2.47
Nd: 0.2458 0.7500 0.5471  7 Se 2.86-3.18
Zn: 0.6396 0.7500 0.6403  4 Se 2.44-2.61

Properties
Space-group type   Pnma (62)
M_tot   0.011 Bohr magnetons per cell

***

ii.
Compound: NdZnInSe3
Source: the Open Quantum Materials Database
Functional: PBE-GGA
Structure: relaxed

abc: 9.1750 9.1750 9.1428
angles: 114.61 114.61 26.25
Closest atoms and distances in Å follow each position.
Sites, in units of the cell vectors:
Se: 0.5000 0.5000 0.5000  2 Zn 2.83, 4 In 2.96
Se: 0.6553 0.6553 0.3537  1 Zn 2.50
Zn: 0.5018 0.5018 0.1921  4 Se 2.50-2.72
Se: 0.0000 0.0000 0.0000  4 Zn 2.72
Zn: 0.4982 0.4982 0.8079  4 Se 2.50-2.72
Nd: 0.1982 0.1982 0.1685  6 Se 2.95-3.20
Se: 0.3447 0.3447 0.6463  1 Zn 2.50
Nd: 0.8018 0.8018 0.8315  6 Se 2.95-3.20
In: 0.1296 0.1296 0.5939  4 Se 2.96-3.20
Se: 0.3454 0.3454 0.0835  1 Zn 2.53
Se: 0.6546 0.6546 0.9165  1 Zn 2.53
In: 0.8704 0.8704 0.4061  4 Se 2.96-3.20

Properties
Space-group type   C2/m (12)
M_tot   0.006 Bohr magnetons per cell

***

Name the most stable of them. i.